Material: PmPrEr3Sc
Method: DFT, PBE-GGA
State: optimized geometry

POSCAR file:
```
PmPrEr3Sc
1.0
-3.719 -1.377 3.040
-1.809 -2.251 -7.339
4.521 -8.744 1.568
Pr Er Sc Pm
2 6 2 2
Direct
0.000 0.000 0.500
0.000 0.000 0.000
0.330 0.661 0.500
0.670 0.339 0.000
0.670 0.339 0.500
0.829 0.659 0.250
0.171 0.341 0.750
0.330 0.661 0.000
0.169 0.338 0.250
0.831 0.662 0.750
0.498 0.996 0.750
0.502 0.004 0.250
```

SG ... Cmcm
Formation enthalpy at 0 K ... 43 meV/atom
Total DFT energy (no corrections) ... -29.3 eV/f.u.
Total magnetization ... 0.00 μB/cell